DFT (PBE) results for a relaxed structure of KRbInBi.

Results
For the density, the calculation gives 4.85 g/cm³. The energy of formation comes out at -188 meV per atom.

a b c (Å): 6.0099 6.0099 6.0099
angles (deg): 60.00 60.00 60.00
Closest atoms and distances in Å follow each position.
Fractional coordinates of all 4 atoms:
K  0.7500  0.7500  0.7500  4 Bi 3.68, 4 Rb 3.68
Bi  0.5000  0.5000  0.5000  4 In 3.68, 4 K 3.68
Rb  0.0000  0.0000  0.0000  4 In 3.68, 4 K 3.68
In  0.2500  0.2500  0.2500  4 Bi 3.68, 4 Rb 3.68



DFT (PBE) results for a relaxed structure of Ca2Tl8Cd.

Results
For the density, the calculation gives 9.00 g/cm³. The energy of formation comes out at -90 meV per atom.

a b c (Å): 6.8585 9.5700 9.5700
angles (deg): 38.67 61.08 61.08
Closest atoms and distances in Å follow each position.
Fractional coordinates of all 11 atoms:
Ca  0.4520  0.1816  0.1816  9 Tl 3.37-3.75, 1 Cd 3.50
Ca  0.5480  0.8184  0.8184  9 Tl 3.37-3.75, 1 Cd 3.50
Tl  0.7620  0.1817  0.6675  1 Cd 3.07, 5 Tl 3.08-3.38, 1 Ca 3.37
Tl  0.2380  0.3325  0.8183  1 Cd 3.07, 5 Tl 3.08-3.38, 1 Ca 3.37
Tl  0.8387  0.2450  0.2450  5 Tl 3.31-3.52, 3 Ca 3.38-3.61
Tl  0.1613  0.7550  0.7550  5 Tl 3.31-3.52, 3 Ca 3.38-3.61
Tl  0.7620  0.6675  0.1817  1 Cd 3.07, 5 Tl 3.08-3.38, 1 Ca 3.37
Tl  0.2380  0.8183  0.3325  1 Cd 3.07, 5 Tl 3.08-3.38, 1 Ca 3.37
Tl  0.2534  0.3977  0.3977  3 Ca 3.41-3.63, 6 Tl 3.51-3.55, 2 Cd 3.63
Tl  0.7466  0.6023  0.6023  3 Ca 3.41-3.63, 6 Tl 3.51-3.55, 2 Cd 3.63
Cd  0.0000  0.0000  0.0000  4 Tl 3.07



DFT (PBE) results for a relaxed structure of KTcH2Ru.

Results
For the density, the calculation gives 5.32 g/cm³. Its total energy is -4.47 eV per atom.

a b c (Å): 4.0033 4.6771 4.0033
angles (deg): 90.00 90.00 90.00
Closest atoms and distances in Å follow each position.
Fractional coordinates of all 5 atoms:
Ru  0.0000  0.5000  0.0000  2 Tc 2.34
K  0.5000  0.5000  0.5000  4 Ru 2.83, 8 H 3.08
Tc  0.0000  0.0000  0.0000  4 H 2.00
H  0.0000  0.0000  0.5000  2 Tc 2.00
H  0.5000  0.0000  0.0000  2 Tc 2.00



DFT (PBE) results for a relaxed structure of TaSiSe2Br.

Results
For the density, the calculation gives 5.71 g/cm³. As for the energy relative to the elements, uncorrected: 0.3165 eV/atom.

a b c (Å): 5.0503 5.0503 5.0985
angles (deg): 90.00 90.00 90.00
Closest atoms and distances in Å follow each position.
Fractional coordinates of all 5 atoms:
Si  0.5000  0.5000  0.5000  4 Br 3.57, 8 Se 3.59
Se  0.0000  0.5000  0.0000  2 Ta 2.53
Se  0.5000  0.0000  0.0000  2 Ta 2.53
Br  0.0000  0.0000  0.5000  2 Ta 2.55
Ta  0.0000  0.0000  0.0000  4 Se 2.53, 2 Br 2.55



DFT (PBE) results for a relaxed structure of Li3PmNd2Se6.

Results
For the density, the calculation gives 5.15 g/cm³. As for the energy relative to the elements, uncorrected: -1.6653 eV/atom.

a b c (Å): 7.2721 7.2721 6.9631
angles (deg): 100.01 100.01 120.01
Closest atoms and distances in Å follow each position.
Fractional coordinates of all 12 atoms:
Li  0.1667  0.8333  0.5000  6 Se 2.88-2.90
Li  0.8333  0.1667  0.5000  6 Se 2.88-2.90
Li  0.5000  0.5000  0.5000  6 Se 2.88-2.90
Pm  0.0000  0.0000  0.0000  6 Se 2.94-2.95
Nd  0.3333  0.6667  0.0000  6 Se 2.96
Nd  0.6667  0.3333  0.0000  6 Se 2.96
Se  0.9136  0.5820  0.7406  3 Li 2.88-2.90, 1 Pm 2.95, 2 Nd 2.96
Se  0.7547  0.7547  0.2590  3 Li 2.88-2.90, 1 Pm 2.94, 2 Nd 2.96
Se  0.0864  0.4180  0.2594  3 Li 2.88-2.90, 1 Pm 2.95, 2 Nd 2.96
Se  0.5820  0.9136  0.7406  3 Li 2.88-2.90, 1 Pm 2.95, 2 Nd 2.96
Se  0.2453  0.2453  0.7410  3 Li 2.88-2.90, 1 Pm 2.94, 2 Nd 2.96
Se  0.4180  0.0864  0.2594  3 Li 2.88-2.90, 1 Pm 2.95, 2 Nd 2.96



DFT (PBE) results for a relaxed structure of HgF3.

Results
For the density, the calculation gives 7.52 g/cm³. As for the energy relative to the elements, uncorrected: -0.9823 eV/atom.

a b c (Å): 4.2174 7.6431 7.6431
angles (deg): 85.63 73.98 73.98
Closest atoms and distances in Å follow each position.
Fractional coordinates of all 16 atoms:
Hg  0.9629  0.2140  0.7264  4 F 2.06-2.27
Hg  0.9033  0.7860  0.2736  4 F 2.06-2.27
Hg  0.3107  0.7264  0.7860  4 F 2.06-2.27
Hg  0.8231  0.2736  0.2140  4 F 2.06-2.27
F  0.3636  0.0550  0.8190  1 Hg 2.06
F  0.2376  0.9450  0.1810  1 Hg 2.06
F  0.8174  0.8190  0.9450  1 Hg 2.06
F  0.5814  0.1810  0.0550  1 Hg 2.06
F  0.5275  0.3697  0.6602  1 Hg 2.06
F  0.5574  0.6303  0.3398  1 Hg 2.06
F  0.8123  0.6602  0.6303  1 Hg 2.06
F  0.1028  0.3398  0.3697  1 Hg 2.06
F  0.1069  0.9390  0.5925  2 Hg 2.26-2.27
F  0.6384  0.0610  0.4075  2 Hg 2.26-2.27
F  0.3006  0.5925  0.0610  2 Hg 2.26-2.27
F  0.9541  0.4075  0.9390  2 Hg 2.26-2.27



DFT (PBE) results for a relaxed structure of TbPr3Dy6Y2.

Results
For the density, the calculation gives 7.32 g/cm³. The energy of formation comes out at 19 meV per atom.

a b c (Å): 6.2310 6.2310 11.8834
angles (deg): 95.00 95.00 119.99
Closest atoms and distances in Å follow each position.
Fractional coordinates of all 12 atoms:
Tb  0.0000  0.0000  0.0000  6 Dy 3.55, 6 Y 3.60
Pr  0.1667  0.8333  0.5000  6 Pr 3.60, 6 Dy 3.62
Pr  0.8333  0.1667  0.5000  6 Pr 3.60, 6 Dy 3.62
Pr  0.5000  0.5000  0.5000  6 Pr 3.60, 6 Dy 3.62-3.63
Dy  0.9176  0.5849  0.7537  1 Tb 3.55, 2 Y 3.55, 6 Dy 3.59-3.60, 3 Pr 3.62
Dy  0.7496  0.7496  0.2463  1 Tb 3.55, 2 Y 3.55, 6 Dy 3.59-3.60, 3 Pr 3.62-3.63
Dy  0.0824  0.4151  0.2463  1 Tb 3.55, 2 Y 3.55, 6 Dy 3.59-3.60, 3 Pr 3.62
Dy  0.5849  0.9176  0.7537  1 Tb 3.55, 2 Y 3.55, 6 Dy 3.59-3.60, 3 Pr 3.62
Dy  0.2504  0.2504  0.7537  1 Tb 3.55, 2 Y 3.55, 6 Dy 3.59-3.60, 3 Pr 3.62-3.63
Dy  0.4151  0.0824  0.2463  1 Tb 3.55, 2 Y 3.55, 6 Dy 3.59-3.60, 3 Pr 3.62
Y  0.3333  0.6667  0.0000  6 Dy 3.55, 3 Tb 3.60, 3 Y 3.60
Y  0.6667  0.3333  0.0000  6 Dy 3.55, 3 Tb 3.60, 3 Y 3.60



DFT (PBE) results for a relaxed structure of MgSc6Zn.

Results
For the density, the calculation gives 3.11 g/cm³. The energy of formation comes out at 208 meV per atom.

a b c (Å): 6.2472 6.2472 6.6130
angles (deg): 104.25 104.25 120.85
Closest atoms and distances in Å follow each position.
Fractional coordinates of all 8 atoms:
Mg  0.0000  0.0000  0.0000  6 Sc 2.91-2.92, 2 Zn 3.20
Sc  0.2732  0.2732  0.7451  1 Zn 2.62, 1 Mg 2.92
Sc  0.5088  0.0782  0.2441  1 Zn 2.79, 1 Mg 2.91, 3 Sc 3.06-3.13
Sc  0.7268  0.7268  0.2549  1 Zn 2.62, 1 Mg 2.92
Sc  0.9218  0.4912  0.7559  1 Zn 2.79, 1 Mg 2.91, 3 Sc 3.06-3.13
Sc  0.4912  0.9218  0.7559  1 Zn 2.79, 1 Mg 2.91, 3 Sc 3.06-3.13
Sc  0.0782  0.5088  0.2441  1 Zn 2.79, 1 Mg 2.91, 3 Sc 3.06-3.13
Zn  0.5000  0.5000  0.5000  6 Sc 2.62-2.79



DFT (PBE) results for a relaxed structure of BaNaNb2O7.

Results
For the density, the calculation gives 4.34 g/cm³. As for the energy relative to the elements, uncorrected: -2.4074 eV/atom.

a b c (Å): 3.9816 3.9816 11.4101
angles (deg): 100.05 100.05 90.00
Closest atoms and distances in Å follow each position.
Fractional coordinates of all 11 atoms:
Ba  0.5000  0.5000  0.0000  12 O 2.82-2.89
Na  0.2500  0.7500  0.5000  4 O 2.36
Nb  0.8884  0.8884  0.7767  1 O 1.80
Nb  0.1116  0.1116  0.2233  1 O 1.80
O  0.0947  0.5947  0.1893  2 Nb 2.03
O  0.0000  0.0000  0.0000  2 Nb 2.47
O  0.4053  0.9053  0.8107  2 Nb 2.03
O  0.8070  0.8070  0.6140  1 Nb 1.80
O  0.5933  0.0933  0.1867  2 Nb 2.03
O  0.1930  0.1930  0.3860  1 Nb 1.80
O  0.9067  0.4067  0.8133  2 Nb 2.03



DFT (PBE) results for a relaxed structure of Tl2Cd4In5.

Results
For the density, the calculation gives 8.06 g/cm³. The energy of formation comes out at 35 meV per atom.

a b c (Å): 3.3033 7.2621 12.4358
angles (deg): 93.69 97.63 90.00
Closest atoms and distances in Å follow each position.
Fractional coordinates of all 11 atoms:
Tl  0.2738  0.2051  0.5475  5 In 3.23-3.46, 4 Tl 3.30-3.54
Tl  0.7262  0.7949  0.4525  5 In 3.23-3.46, 4 Tl 3.30-3.54
Cd  0.4187  0.3247  0.8375  6 Cd 3.06-3.38, 5 In 3.15-3.25
Cd  0.0385  0.3418  0.0771  7 Cd 3.06-3.38, 4 In 3.08-3.28
Cd  0.5813  0.6753  0.1625  6 Cd 3.06-3.38, 5 In 3.15-3.25
Cd  0.9615  0.6582  0.9229  7 Cd 3.06-3.38, 4 In 3.08-3.28
In  0.8735  0.9785  0.7470  3 In 3.10-3.30, 3 Cd 3.15-3.28, 2 Tl 3.46
In  0.1265  0.0215  0.2530  3 In 3.10-3.30, 3 Cd 3.15-3.28, 2 Tl 3.46
In  0.8341  0.5640  0.6681  3 In 3.10-3.30, 3 Cd 3.17-3.25, 3 Tl 3.23-3.35
In  0.5000  0.0000  0.0000  6 Cd 3.08-3.19, 2 In 3.30
In  0.1659  0.4360  0.3319  3 In 3.10-3.30, 3 Cd 3.17-3.25, 3 Tl 3.23-3.35



Please write out number 1 again, unchanged.
DFT (PBE) results for a relaxed structure of KRbInBi.

Results
For the density, the calculation gives 4.85 g/cm³. The energy of formation comes out at -188 meV per atom.

a b c (Å): 6.0099 6.0099 6.0099
angles (deg): 60.00 60.00 60.00
Closest atoms and distances in Å follow each position.
Fractional coordinates of all 4 atoms:
K  0.7500  0.7500  0.7500  4 Bi 3.68, 4 Rb 3.68
Bi  0.5000  0.5000  0.5000  4 In 3.68, 4 K 3.68
Rb  0.0000  0.0000  0.0000  4 In 3.68, 4 K 3.68
In  0.2500  0.2500  0.2500  4 Bi 3.68, 4 Rb 3.68